A geometry-optimized Zr2MnCd structure, computed with PBE.

The value obtained for the volume is 19.3 A^3/atom. Its formation energy is -0.090 eV per atom. As for the total magnetic moment: 0.0 μB per formula unit. The total energy comes out at -27.5 eV per cell. Its space group is No. 123.

The structure in extended XYZ format:
```
4
Lattice="3.195 0.000 0.000 0.000 3.195 0.000 0.000 0.000 7.558" Properties=species:S:1:pos:R:3 pbc="T T T"
Zr 0.000 0.000 1.558
Zr 0.000 0.000 6.000
Mn 1.597 1.597 0.000
Cd 1.597 1.597 3.779
```

A geometry-optimized ZrMnCd2 structure, computed with PBE.

The value obtained for the volume is 20.0 A^3/atom. Its formation energy is 0.149 eV per atom. As for the total magnetic moment: 2.5 μB per formula unit. The total energy comes out at -19.0 eV per cell. Its space group is No. 44. For the energy above the most stable polymorph in this dataset, the calculation gives 11.2 kJ/mol of atoms.

The structure in extended XYZ format:
```
4
Lattice="-1.573 2.567 4.956 1.573 -2.567 4.956 1.573 2.567 -4.956" Properties=species:S:1:pos:R:3 pbc="T T T"
Zr 0.000 0.000 0.000
Mn 0.000 2.567 2.670
Cd 1.573 0.000 2.732
Cd 0.000 0.000 5.273
```

A geometry-optimized Zr2MnCd structure, computed with PBE.

The value obtained for the volume is 19.4 A^3/atom. Its formation energy is 0.096 eV per atom. As for the total magnetic moment: 0.2 μB per formula unit. The total energy comes out at -26.8 eV per cell. Its space group is No. 71.

The structure in extended XYZ format:
```
4
Lattice="-1.833 2.492 4.244 1.833 -2.492 4.244 1.833 2.492 -4.244" Properties=species:S:1:pos:R:3 pbc="T T T"
Zr 0.000 0.000 1.777
Zr 0.000 0.000 6.710
Mn 1.833 0.000 0.000
Cd 0.000 2.492 0.000
```

A geometry-optimized CdMo structure, computed with PBE.

The value obtained for the volume is 18.0 A^3/atom. Its formation energy is 0.499 eV per atom. As for the total magnetic moment: 0.0 μB per formula unit. The total energy comes out at -21.5 eV per cell. Its space group is No. 59. For the energy above the most stable polymorph in this dataset, the calculation gives 25.0 kJ/mol of atoms.

The structure in extended XYZ format:
```
4
Lattice="2.715 0.000 0.000 0.000 4.847 0.000 0.000 0.000 5.456" Properties=species:S:1:pos:R:3 pbc="T T T"
Cd 0.679 1.212 0.527
Cd 2.036 3.635 4.930
Mo 0.679 3.635 2.263
Mo 2.036 1.212 3.193
```

A geometry-optimized CdMo structure, computed with PBE.

The value obtained for the volume is 18.7 A^3/atom. Its formation energy is 0.278 eV per atom. As for the total magnetic moment: 0.0 μB per formula unit. The total energy comes out at -22.4 eV per cell. Its space group is No. 129. For the energy above the most stable polymorph in this dataset, the calculation gives 3.6 kJ/mol of atoms.

The structure in extended XYZ format:
```
4
Lattice="3.297 0.000 0.000 0.000 3.297 0.000 0.000 0.000 6.885" Properties=species:S:1:pos:R:3 pbc="T T T"
Cd 0.824 0.824 0.945
Cd 2.473 2.473 5.940
Mo 0.824 0.824 4.021
Mo 2.473 2.473 2.864
```

A geometry-optimized CdMo2 structure, computed with PBE.

The value obtained for the volume is 17.0 A^3/atom. Its formation energy is 0.404 eV per atom. As for the total magnetic moment: 0.0 μB per formula unit. The total energy comes out at -21.4 eV per cell. Its space group is No. 71. For the energy above the most stable polymorph in this dataset, the calculation gives 6.8 kJ/mol of atoms.

The structure in extended XYZ format:
```
3
Lattice="-1.349 2.223 4.261 1.349 -2.223 4.261 1.349 2.223 -4.261" Properties=species:S:1:pos:R:3 pbc="T T T"
Cd 0.000 0.000 0.000
Mo 0.000 0.000 2.850
Mo 0.000 0.000 5.671
```

A geometry-optimized CdMo2 structure, computed with PBE.

The value obtained for the volume is 17.4 A^3/atom. Its formation energy is 0.427 eV per atom. As for the total magnetic moment: 0.0 μB per formula unit. The total energy comes out at -42.6 eV per cell. Its space group is No. 63. For the energy above the most stable polymorph in this dataset, the calculation gives 9.1 kJ/mol of atoms.

The structure in extended XYZ format:
```
6
Lattice="1.338 -8.161 0.000 1.338 8.161 0.000 0.000 0.000 4.790" Properties=species:S:1:pos:R:3 pbc="T T T"
Cd 1.338 4.648 3.592
Cd 1.338 -4.648 1.197
Mo 1.338 6.423 1.197
Mo 1.338 0.770 1.197
Mo 1.338 -0.770 3.592
Mo 1.338 -6.423 3.592
```

A geometry-optimized CdMo2 structure, computed with PBE.

The value obtained for the volume is 17.2 A^3/atom. Its formation energy is 0.500 eV per atom. As for the total magnetic moment: 0.0 μB per formula unit. The total energy comes out at -42.2 eV per cell. Its space group is No. 8. For the energy above the most stable polymorph in this dataset, the calculation gives 16.1 kJ/mol of atoms.

The structure in extended XYZ format:
```
6
Lattice="5.563 -1.355 0.000 5.563 1.355 0.000 -1.793 0.000 6.850" Properties=species:S:1:pos:R:3 pbc="T T T"
Cd 0.000 0.000 0.000
Cd 6.762 0.000 2.286
Mo -0.423 0.000 4.327
Mo 2.548 0.000 4.495
Mo 3.797 0.000 2.089
Mo 6.482 0.000 6.490
```